The following is a GGA-PBE calculation of crystalline PrYN at its relaxed geometry, from Alexandria.

The volume comes out at 154 Å³/cell. The calculation puts the total magnetization at 0.0000 μB/atom. The uncorrected formation energy is -2.5 eV/f.u. The calculation puts the density of states at the Fermi level at 6.405 states/eV per cell.

a b c (Å): 3.9726 4.9610 8.0563
angles (deg): 90.00 75.43 90.00
Atoms (fractional coordinates):
Y1 0.0698 0.2500 0.8638
Y2 0.9302 0.7500 0.1362
Pr1 0.3330 0.2500 0.3275
Pr2 0.6670 0.7500 0.6725
N1 0.9232 0.2500 0.1502
N2 0.0768 0.7500 0.8498